# 1
# LiLa6Se8

LiLa6Se8 after structural relaxation (GGA-PBE, the Alexandria database).

Cell: 7.961 7.961 7.961 Å, 68.04 68.04 68.04°
Element x y z (fractional)
La 0.298 0.923 0.538
La 0.923 0.538 0.298
Se 0.815 0.353 0.093
La 0.702 0.077 0.462
La 0.077 0.462 0.702
Se 0.185 0.647 0.907
La 0.462 0.702 0.077
Se 0.647 0.907 0.185
Se 0.907 0.185 0.647
Se 0.331 0.331 0.331
Se 0.093 0.815 0.353
Se 0.353 0.093 0.815
Se 0.669 0.669 0.669
La 0.538 0.298 0.923
Li 0.000 0.000 0.000

N(E_F)	0.500	states/eV per atom
space group	R-3, No. 148
formation energy without anion corrections	-1.8934	eV per atom

# 2
# EuHo3

EuHo3 after structural relaxation (GGA-PBE, the Alexandria database).

Cell: 5.713 5.713 5.713 Å, 60.00 60.00 60.00°
Each line ends with the local moment (μB).
Element x y z (fractional)
Eu 0.500 0.500 0.500  6.89
Ho 0.750 0.750 0.750  0.23
Ho 0.000 0.000 0.000  0.22
Ho 0.250 0.250 0.250  0.23

excess energy over the best structure of this formula in the dataset	98	meV per atom
N(E_F)	1.926	states/eV per atom
space group	Fm-3m, No. 225
ΔH_f (0 K)	0.17	eV/atom

# 3
# Mg2AlSe

Mg2AlSe after structural relaxation (GGA-PBE, the Alexandria database).

Cell: 4.940 4.940 3.541 Å, 90.00 90.00 107.00°
Element x y z (fractional)
Se 0.500 0.000 0.500
Al 0.000 0.500 0.500
Mg 0.000 0.000 0.000
Mg 0.500 0.500 0.000

excess energy over the best structure of this formula in the dataset	171	meV per atom
N(E_F)	0.374	states/eV per atom
space group	Cmmm, No. 65
formation energy without anion corrections	-0.2250	eV per atom

# 4
# Rb4Er3TlO8

Rb4Er3TlO8 after structural relaxation (GGA-PBE, the Alexandria database).

Cell: 6.969 7.694 6.969 Å, 116.92 120.00 90.00°
Element x y z (fractional)
O 0.283 0.319 0.051
Tl 0.000 0.500 0.000
O 0.717 0.681 0.949
Er 0.000 0.500 0.500
Er 0.500 0.500 0.000
O 0.768 0.319 0.536
O 0.232 0.681 0.949
Rb 0.500 0.000 0.000
O 0.232 0.681 0.464
O 0.724 0.672 0.448
Rb 0.000 0.000 0.000
O 0.276 0.328 0.552
Rb 0.500 0.000 0.500
Rb 0.000 0.000 0.500
O 0.768 0.319 0.051
Er 0.500 0.500 0.500

N(E_F)	0.000	states/eV per atom
space group	R-3m, No. 166
formation energy without anion corrections	-2.2715	eV per atom

# 5
# KTaCoS3

KTaCoS3 after structural relaxation (GGA-PBE, the Alexandria database).

Cell: 3.516 8.458 9.181 Å, 114.48 90.00 90.00°
Each line ends with the local moment (μB).
Element x y z (fractional)
S 0.750 0.469 0.139  0.01
S 0.750 0.887 0.139  0.02
S 0.750 0.212 0.543  0.04
K 0.250 0.235 0.256  0.00
Co 0.750 0.914 0.393  0.97
S 0.250 0.113 0.861  0.02
Co 0.250 0.086 0.607  0.97
S 0.250 0.531 0.861  0.01
K 0.750 0.765 0.744  0.00
Ta 0.750 0.300 0.828  -0.09
Ta 0.250 0.700 0.172  -0.09
S 0.250 0.788 0.457  0.04

N(E_F)	0.338	states/eV per atom
space group	P2_1/m, No. 11
formation energy without anion corrections	-0.9888	eV per atom

# 6
# EuTmZnCo

EuTmZnCo after structural relaxation (GGA-PBE, the Alexandria database).

Cell: 4.933 4.933 4.933 Å, 60.00 60.00 60.00°
Each line ends with the local moment (μB).
Element x y z (fractional)
Zn 0.000 0.000 0.000  0.01
Tm 0.750 0.750 0.750  0.18
Eu 0.250 0.250 0.250  6.78
Co 0.500 0.500 0.500  -1.00

N(E_F)	1.124	states/eV per atom
space group	F-43m, No. 216
ΔH_f (0 K)	-0.06	eV/atom